Material: TbPmTlCu
Method: DFT, PBE-GGA
State: optimized geometry Values from VASP.

Cell and atoms, written as Quantum ESPRESSO input:
```
&SYSTEM
  ibrav = 0, nat = 4, ntyp = 4
/
ATOMIC_SPECIES
Tb 158.93 Tb.upf
Pm 145.00 Pm.upf
Tl 204.38 Tl.upf
Cu 63.55 Cu.upf
CELL_PARAMETERS angstrom
0.0000 3.7180 3.7180
3.7180 0.0000 3.7180
3.7180 3.7180 0.0000
ATOMIC_POSITIONS angstrom
Tb 0.0000 0.0000 0.0000
Pm 3.7180 3.7180 3.7180
Tl 1.8590 1.8590 1.8590
Cu 5.5770 5.5770 5.5770
```

Calculated values
symmetry	F-43m
crystal system	cubic
DFT total energy	-4.188	eV/atom
calculated formation energy	-227	meV/atom

Material: TbPmTmCu
Method: DFT, PBE-GGA
State: optimized geometry Values from VASP.

Cell and atoms, written as Quantum ESPRESSO input:
```
&SYSTEM
  ibrav = 0, nat = 4, ntyp = 4
/
ATOMIC_SPECIES
Tb 158.93 Tb.upf
Pm 145.00 Pm.upf
Tm 168.93 Tm.upf
Cu 63.55 Cu.upf
CELL_PARAMETERS angstrom
3.5025 0.0000 0.0000
0.0000 3.5025 0.0000
0.0000 0.0000 8.6793
ATOMIC_POSITIONS angstrom
Tb 0.0000 0.0000 0.0000
Pm 1.7513 1.7513 2.6889
Tm 0.0000 0.0000 5.3289
Cu 1.7513 1.7513 6.9296
```

Calculated values
symmetry	P4mm
crystal system	tetragonal
DFT total energy	-4.594	eV/atom
calculated formation energy	-107	meV/atom

Material: TbPmYCu
Method: DFT, PBE-GGA
State: optimized geometry Values from VASP.

Cell and atoms, written as Quantum ESPRESSO input:
```
&SYSTEM
  ibrav = 0, nat = 4, ntyp = 4
/
ATOMIC_SPECIES
Tb 158.93 Tb.upf
Pm 145.00 Pm.upf
Y 88.91 Y.upf
Cu 63.55 Cu.upf
CELL_PARAMETERS angstrom
3.5324 0.0000 0.0000
0.0000 3.5324 0.0000
0.0000 0.0000 8.7328
ATOMIC_POSITIONS angstrom
Tb 0.0000 0.0000 0.0000
Pm 1.7662 1.7662 2.6663
Y 0.0000 0.0000 5.3511
Cu 1.7662 1.7662 7.0589
```

Calculated values
symmetry	P4mm
crystal system	tetragonal
DFT total energy	-5.081	eV/atom
calculated formation energy	-96	meV/atom

Material: Pm2CuTc
Method: DFT, PBE-GGA
State: optimized geometry Values from VASP.

Cell and atoms, written as Quantum ESPRESSO input:
```
&SYSTEM
  ibrav = 0, nat = 4, ntyp = 3
/
ATOMIC_SPECIES
Pm 145.00 Pm.upf
Cu 63.55 Cu.upf
Tc 98.00 Tc.upf
CELL_PARAMETERS angstrom
3.5198 0.0000 0.0000
0.0000 3.5198 0.0000
0.0000 0.0000 7.2040
ATOMIC_POSITIONS angstrom
Pm 0.0000 0.0000 1.7044
Pm 0.0000 0.0000 5.4996
Cu 1.7599 1.7599 3.6020
Tc 1.7599 1.7599 0.0000
```

Calculated values
symmetry	P4/mmm
crystal system	tetragonal
DFT total energy	-5.994	eV/atom
ΔE to the lowest computed polymorph	0.000	eV per formula unit
calculated formation energy	-3	meV/atom

Material: Pm6CuTc2
Method: DFT, PBE-GGA
State: optimized geometry Values from VASP.

Cell and atoms, written as Quantum ESPRESSO input:
```
&SYSTEM
  ibrav = 0, nat = 18, ntyp = 3
/
ATOMIC_SPECIES
Pm 145.00 Pm.upf
Cu 63.55 Cu.upf
Tc 98.00 Tc.upf
CELL_PARAMETERS angstrom
-4.8712 4.9304 5.1380
4.8712 -4.9304 5.1380
4.8712 4.9304 -5.1380
ATOMIC_POSITIONS angstrom
Pm 4.8712 -2.8628 3.2461
Pm 2.9094 0.0000 2.2824
Pm 6.8330 0.0000 2.2824
Pm 3.0395 2.8055 0.0000
Pm 6.7028 2.8055 0.0000
Pm 0.0000 2.0675 1.8919
Pm 4.8712 2.8628 3.2461
Pm -1.8317 2.1249 5.1380
Pm 1.8317 2.1249 5.1380
Pm -1.9618 4.9304 2.8556
Pm 1.9618 4.9304 2.8556
Pm 0.0000 7.7932 1.8919
Cu 4.8712 0.0000 0.0000
Cu 0.0000 4.9304 0.0000
Tc 1.2229 0.0000 0.0000
Tc 8.5195 0.0000 0.0000
Tc 0.0000 0.0000 3.9524
Tc 0.0000 0.0000 6.3237
```

Calculated values
symmetry	Immm
crystal system	orthorhombic
DFT total energy	-5.912	eV/atom
calculated formation energy	14	meV/atom

Material: PmCuTc
Method: DFT, PBE-GGA
State: optimized geometry Values from VASP.

Cell and atoms, written as Quantum ESPRESSO input:
```
&SYSTEM
  ibrav = 0, nat = 6, ntyp = 3
/
ATOMIC_SPECIES
Pm 145.00 Pm.upf
Cu 63.55 Cu.upf
Tc 98.00 Tc.upf
CELL_PARAMETERS angstrom
0.0000 3.4405 8.6554
2.2618 0.0000 8.6554
2.2618 3.4405 0.0000
ATOMIC_POSITIONS angstrom
Pm 2.2618 3.4405 2.1313
Pm 2.2618 3.4405 15.1795
Cu 1.1309 1.7203 4.3277
Cu 3.3927 5.1608 12.9831
Tc 2.2618 2.2519 8.6554
Tc 2.2618 4.6292 8.6554
```

Calculated values
symmetry	Fmmm
crystal system	orthorhombic
DFT total energy	-6.285	eV/atom
calculated formation energy	119	meV/atom

Material: Pm2CuTc
Method: DFT, PBE-GGA
State: optimized geometry Values from VASP.

Cell and atoms, written as Quantum ESPRESSO input:
```
&SYSTEM
  ibrav = 0, nat = 4, ntyp = 3
/
ATOMIC_SPECIES
Pm 145.00 Pm.upf
Cu 63.55 Cu.upf
Tc 98.00 Tc.upf
CELL_PARAMETERS angstrom
0.0000 3.5320 3.5320
3.5320 0.0000 3.5320
3.5320 3.5320 0.0000
ATOMIC_POSITIONS angstrom
Pm 1.7660 1.7660 1.7660
Pm 5.2980 5.2980 5.2980
Cu 0.0000 0.0000 0.0000
Tc 3.5320 3.5320 3.5320
```

Calculated values
symmetry	Fm-3m
crystal system	cubic
DFT total energy	-5.958	eV/atom
ΔE to the lowest computed polymorph	0.144	eV per formula unit
calculated formation energy	33	meV/atom

Material: Pm4CuTc
Method: DFT, PBE-GGA
State: optimized geometry Values from VASP.

Cell and atoms, written as Quantum ESPRESSO input:
```
&SYSTEM
  ibrav = 0, nat = 12, ntyp = 3
/
ATOMIC_SPECIES
Pm 145.00 Pm.upf
Cu 63.55 Cu.upf
Tc 98.00 Tc.upf
CELL_PARAMETERS angstrom
4.5760 -6.5913 0.0000
4.5760 6.5913 0.0000
-3.4416 0.0000 5.4714
ATOMIC_POSITIONS angstrom
Pm 0.3421 4.2895 4.9698
Pm 0.2700 0.9192 3.8912
Pm 3.6475 4.2895 3.2373
Pm 1.9908 -0.9192 1.1555
Pm 3.7196 0.9192 4.3158
Pm 2.0629 -4.2895 2.2341
Pm 5.4404 -0.9192 1.5802
Pm 5.3683 -4.2895 0.5016
Cu 3.7156 1.7126 1.3678
Cu 1.9948 -1.7126 4.1035
Tc 3.7156 6.5555 1.3678
Tc 1.9948 -6.5555 4.1035
```

Calculated values
symmetry	C2/c
crystal system	monoclinic
DFT total energy	-5.622	eV/atom
calculated formation energy	-45	meV/atom